(1)
SmDySi2Ni2 after structural relaxation. Source: OQMD via LeMat-Bulk, functional PBE-GGA.

Cell: 4.0996 4.0996 6.5297 Å, 90.00 90.00 90.00°
Fractional coordinates of all 6 atoms:
Sm1 0.0000 0.0000 0.0000
Dy1 0.5000 0.5000 0.6345
Si1 0.0000 0.0000 0.5136
Si2 0.5000 0.5000 0.1361
Ni1 0.0000 0.5000 0.3249
Ni2 0.5000 0.0000 0.3249

M_tot ... 0.03 μB/f.u.

(2)
ErTe3PbAu after structural relaxation. Source: OQMD via LeMat-Bulk, functional PBE-GGA.

Cell: 10.1163 10.1163 8.8220 Å, 100.49 100.49 24.46°
Fractional coordinates of all 12 atoms:
Er1 0.1596 0.1596 0.0917
Er2 0.8404 0.8404 0.9083
Te1 0.0000 0.0000 0.0000
Te2 0.3108 0.3108 0.6540
Te3 0.3213 0.3213 0.1433
Te4 0.5000 0.5000 0.5000
Te5 0.6787 0.6787 0.8567
Te6 0.6892 0.6892 0.3460
Pb1 0.1248 0.1248 0.5772
Pb2 0.8752 0.8752 0.4228
Au1 0.4474 0.4474 0.7872
Au2 0.5526 0.5526 0.2128

Energy above the lowest structure with this stoichiometry ... 0.0315 eV/atom
M_tot ... 0.02 μB/f.u.

(3)
TePt after structural relaxation. Source: OQMD via LeMat-Bulk, functional PBE-GGA.

Cell: 4.2473 4.2473 4.2473 Å, 60.00 60.00 60.00°
Fractional coordinates of all 2 atoms:
Te1 0.0000 0.0000 0.0000
Pt1 0.2500 0.2500 0.2500

M_tot ... 0.00 μB/f.u.

(4)
BaNbOs after structural relaxation. Source: OQMD via LeMat-Bulk, functional PBE-GGA.

Cell: 4.7619 4.7619 4.7619 Å, 60.00 60.00 60.00°
Fractional coordinates of all 3 atoms:
Ba1 0.0000 0.0000 0.0000
Nb1 0.5000 0.5000 0.5000
Os1 0.2500 0.2500 0.2500

Energy above the lowest structure with this stoichiometry ... 0.0000 eV/atom
M_tot ... 0.02 μB/f.u.

(5)
Li4ZnSn2Au after structural relaxation. Source: OQMD via LeMat-Bulk, functional PBE-GGA.

Cell: 4.5843 4.5843 6.4683 Å, 90.00 90.00 90.00°
Fractional coordinates of all 8 atoms:
Li1 0.0000 0.0000 0.0000
Li2 0.0000 0.5000 0.2444
Li3 0.5000 0.0000 0.7556
Li4 0.5000 0.5000 0.5000
Zn1 0.0000 0.0000 0.5000
Sn1 0.0000 0.5000 0.7455
Sn2 0.5000 0.0000 0.2545
Au1 0.5000 0.5000 0.0000

(6)
ScAsPtO after structural relaxation. Source: OQMD via LeMat-Bulk, functional PBE-GGA.

Cell: 3.9894 3.9894 7.8158 Å, 90.00 90.00 90.00°
Fractional coordinates of all 8 atoms:
Sc1 0.2500 0.2500 0.1059
Sc2 0.7500 0.7500 0.8941
As1 0.2500 0.2500 0.6980
As2 0.7500 0.7500 0.3020
Pt1 0.2500 0.7500 0.5000
Pt2 0.7500 0.2500 0.5000
O1 0.2500 0.7500 0.0000
O2 0.7500 0.2500 0.0000

Energy above the lowest structure with this stoichiometry ... 0.0000 eV/atom
M_tot ... 0.01 μB/f.u.

(7)
CuI after structural relaxation. Source: OQMD via LeMat-Bulk, functional PBE-GGA.

Cell: 7.0964 7.0964 7.0964 Å, 118.64 118.64 92.38°
Fractional coordinates of all 8 atoms:
Cu1 0.0000 0.0000 0.0000
Cu2 0.0000 0.0000 0.5000
Cu3 0.0000 0.5000 0.0000
Cu4 0.5000 0.0000 0.5000
I1 0.1654 0.4154 0.7500
I2 0.4154 0.1654 0.2500
I3 0.5846 0.8346 0.7500
I4 0.8346 0.5846 0.2500

(8)
Er2ReB6 after structural relaxation. Source: OQMD via LeMat-Bulk, functional PBE-GGA.

Cell: 9.1200 11.4810 3.6487 Å, 90.00 90.00 90.00°
Fractional coordinates of all 36 atoms:
Er1 0.0569 0.1299 0.0000
Er2 0.1769 0.4139 0.0000
Er3 0.3231 0.9139 0.0000
Er4 0.4431 0.6299 0.0000
Er5 0.5569 0.3701 0.0000
Er6 0.6769 0.0861 0.0000
Er7 0.8231 0.5861 0.0000
Er8 0.9431 0.8701 0.0000
Re1 0.1386 0.6792 0.0000
Re2 0.3614 0.1792 0.0000
Re3 0.6386 0.8208 0.0000
Re4 0.8614 0.3208 0.0000
B1 0.0181 0.2881 0.5000
B2 0.0532 0.5667 0.5000
B3 0.0999 0.9722 0.5000
B4 0.1309 0.8150 0.5000
B5 0.2074 0.2350 0.5000
B6 0.2502 0.0809 0.5000
B7 0.2498 0.5809 0.5000
B8 0.2926 0.7350 0.5000
B9 0.3691 0.3150 0.5000
B10 0.4001 0.4722 0.5000
B11 0.4468 0.0667 0.5000
B12 0.4819 0.7881 0.5000
B13 0.5181 0.2119 0.5000
B14 0.5532 0.9333 0.5000
B15 0.5999 0.5278 0.5000
B16 0.6309 0.6850 0.5000
B17 0.7074 0.2650 0.5000
B18 0.7502 0.4191 0.5000
B19 0.7498 0.9191 0.5000
B20 0.7926 0.7650 0.5000
B21 0.8691 0.1850 0.5000
B22 0.9001 0.0278 0.5000
B23 0.9468 0.4333 0.5000
B24 0.9819 0.7119 0.5000

M_tot ... 0.00 μB/f.u.

(9)
SrPdNO after structural relaxation. Source: OQMD via LeMat-Bulk, functional PBE-GGA.

Cell: 6.6891 7.3353 5.1601 Å, 90.00 90.00 90.00°
Fractional coordinates of all 16 atoms:
Sr1 0.0752 0.1669 0.0000
Sr2 0.4248 0.1669 0.5000
Sr3 0.5752 0.8331 0.0000
Sr4 0.9248 0.8331 0.5000
Pd1 0.1314 0.6223 0.0129
Pd2 0.3686 0.6223 0.5129
Pd3 0.6314 0.3777 0.0129
Pd4 0.8686 0.3777 0.5129
N1 0.1143 0.5336 0.6464
N2 0.3857 0.5336 0.1464
N3 0.6143 0.4664 0.6464
N4 0.8857 0.4664 0.1464
O1 0.0629 0.1392 0.4942
O2 0.4371 0.1392 0.9942
O3 0.5629 0.8608 0.4942
O4 0.9371 0.8608 0.9942

Energy above the lowest structure with this stoichiometry ... 0.0000 eV/atom

(10)
CsErNiTe3 after structural relaxation. Source: OQMD via LeMat-Bulk, functional PBE-GGA.

Cell: 11.4080 4.3843 15.9944 Å, 90.00 90.00 90.00°
Fractional coordinates of all 24 atoms:
Cs1 0.0335 0.2500 0.1587
Cs2 0.4665 0.7500 0.6587
Cs3 0.5335 0.2500 0.3413
Cs4 0.9665 0.7500 0.8413
Er1 0.1401 0.7500 0.4397
Er2 0.3599 0.2500 0.9397
Er3 0.6401 0.7500 0.0603
Er4 0.8599 0.2500 0.5603
Ni1 0.1479 0.2500 0.6305
Ni2 0.3521 0.7500 0.1305
Ni3 0.6479 0.2500 0.8695
Ni4 0.8521 0.7500 0.3695
Te1 0.0368 0.7500 0.6173
Te2 0.2079 0.7500 0.0071
Te3 0.2371 0.2500 0.7741
Te4 0.2629 0.7500 0.2741
Te5 0.2921 0.2500 0.5071
Te6 0.4632 0.2500 0.1173
Te7 0.5368 0.7500 0.8827
Te8 0.7079 0.7500 0.4929
Te9 0.7371 0.2500 0.7259
Te10 0.7629 0.7500 0.2259
Te11 0.7921 0.2500 0.9929
Te12 0.9632 0.2500 0.3827

Energy above the lowest structure with this stoichiometry ... 0.1013 eV/atom
M_tot ... 0.50 μB/f.u.

(11)
BaSn2GePd after structural relaxation. Source: OQMD via LeMat-Bulk, functional PBE-GGA.

Cell: 6.5273 6.5273 6.5273 Å, 136.57 136.57 63.10°
Fractional coordinates of all 5 atoms:
Ba1 0.0000 0.0000 0.0000
Sn1 0.2544 0.7544 0.5000
Sn2 0.7544 0.2544 0.5000
Ge1 0.4109 0.4109 0.0000
Pd1 0.6388 0.6388 0.0000

(12)
NaPdO2 after structural relaxation. Source: OQMD via LeMat-Bulk, functional PBE-GGA.

Cell: 3.0251 4.6998 6.3347 Å, 90.00 90.00 90.00°
Fractional coordinates of all 8 atoms:
Na1 0.2500 0.2500 0.1225
Na2 0.7500 0.7500 0.8775
Pd1 0.2500 0.2500 0.6280
Pd2 0.7500 0.7500 0.3720
O1 0.2500 0.7500 0.1578
O2 0.2500 0.7500 0.5942
O3 0.7500 0.2500 0.4058
O4 0.7500 0.2500 0.8422

For the records above, the corresponding VASP energy values read -35.88; -24.97; -9.43; -19.94; -23.69; -28.31; -5.27; -67.55; -23.01; -25.31; -22.82; -19.88 eV/f.u..